(1)
A relaxed structure of K2YNiAu. Source: the Alexandria database, functional GGA-PBEsol.

Properties
E_form = 0.82 eV per atom

```
K2YNiAu
1.0
4.9019 0.0000 0.0000
0.0000 5.7756 0.0000
0.0000 0.0000 5.7756
Ni K Y Au
1 2 1 1
Cartesian
2.4510 0.0000 0.0000
0.0000 2.8878 0.0000
0.0000 0.0000 2.8878
2.4510 2.8878 2.8878
0.0000 0.0000 0.0000
```



(2)
A relaxed structure of KAuO2. Source: the Alexandria database, functional GGA-PBEsol.

Properties
ΔE_f (raw) = -0.8015 eV/atom

```
KAuO2
1.0
-0.2748 -2.2094 2.0517
-1.9814 -1.9216 -2.3347
4.7959 -2.4803 -2.0286
O Au K
2 1 1
Cartesian
3.5577 -3.0157 -0.5371
0.9635 -1.6740 0.5602
0.0000 0.0000 0.0000
1.4073 -2.2010 -2.1817
```



(3)
A relaxed structure of KAu2O4. Source: the Alexandria database, functional GGA-PBEsol.

Properties
ΔE_f (raw) = -0.4020 eV/atom

```
KAu2O4
1.0
-1.8162 2.1719 4.6897
3.6974 -4.6675 3.5936
5.4206 4.3567 0.0815
Au O K
4 8 2
Cartesian
4.3289 3.4793 0.0651
1.0917 0.8775 0.0164
2.0446 -2.6415 5.2147
-0.1634 0.1459 3.0686
4.6117 3.0415 1.9771
5.8784 1.3821 6.4357
2.6901 -1.1804 6.3877
6.7865 0.2962 4.0908
3.7036 4.1275 4.3220
1.4234 0.4790 1.9292
3.5982 -2.2664 4.0428
0.5153 1.5649 4.2740
1.8022 3.2643 2.3856
1.8487 -2.3338 1.7968
```



(4)
A relaxed structure of KPAu2O. Source: the Alexandria database, functional GGA-PBEsol.

Properties
ΔE_f (raw) = 0.4249 eV/atom

```
KPAu2O
1.0
-1.3448 0.7180 -4.1686
-4.2268 -1.4375 1.1160
-1.1696 4.3078 1.1192
Au O K P
2 1 1 1
Cartesian
-2.1134 -0.7188 0.5580
-0.5848 2.1539 0.5596
0.0000 0.0000 0.0000
-3.3706 1.7941 -0.9667
-0.6724 0.3590 -2.0843
```



(5)
A relaxed structure of KTc2AuO. Source: the Alexandria database, functional GGA-PBEsol.

Properties
ΔE_f (raw) = 2.0728 eV/atom

```
KTc2AuO
1.0
-1.3855 -4.5758 -1.2174
3.7427 -1.8353 2.6388
-3.6058 -0.2268 4.9564
Tc Au K O
2 1 1 1
Cartesian
1.8713 -0.9177 1.3194
-0.6928 -2.2879 -0.6087
0.0000 0.0000 0.0000
-1.8029 -0.1134 2.4782
-0.6243 -3.3190 3.1889
```



(6)
A relaxed structure of KOsAu3. Source: the Alexandria database, functional GGA-PBEsol.

Properties
E_form = 2.59 eV per atom

```
KOsAu3
1.0
-3.0535 2.1394 3.2909
2.9027 -1.5759 3.7177
2.6423 4.2036 -0.2811
K Os Au
1 1 3
Cartesian
0.0000 0.0000 0.0000
1.2457 2.3835 3.3638
1.3211 2.1018 -0.1405
1.4513 -0.7880 1.8589
-1.5267 1.0697 1.6455
```



no.,total magnetization (μB per formula unit)
1,0.00
2,0.00
3,1.01
4,0.96
5,7.98
6,2.19